GGA+U NiHgC2O6, optimized geometry; spin magnetization = 1.99 Bohr magnetons per cell; E = -62.277 eV/cell
1.0
-3.613 2.236 2.376
-4.125 -2.397 0.969
-0.529 -1.696 5.779
O Ni C Hg
6 1 2 1
Direct
0.277 0.960 0.273
0.040 0.510 0.727
0.490 0.277 0.273
0.510 0.723 0.727
0.960 0.490 0.273
0.723 0.040 0.727
0.500 0.500 0.500
0.758 0.758 0.725
0.242 0.242 0.275
0.000 0.000 0.000